1.
A plane-wave DFT calculation with PBE was carried out for a geometry-optimized CaNpCdO6 structure.

Results
Total moment (Bohr magnetons per cell): 1.88
E_form (uncorrected) (meV/atom): -2093

```
data_CaNpCdO6
_symmetry_space_group_name_H-M 'P 1'
_symmetry_Int_Tables_number 1
_cell_length_a 5.611
_cell_length_b 5.611
_cell_length_c 10.019
_cell_angle_alpha 90.00
_cell_angle_beta 90.00
_cell_angle_gamma 120.00
loop_
_symmetry_equiv_pos_as_xyz
'x,y,z'
loop_
_atom_site_label
_atom_site_type_symbol
_atom_site_fract_x
_atom_site_fract_y
_atom_site_fract_z
_atom_site_occupancy
Ca1 Ca 0.000 0.000 0.000 1
Ca2 Ca 0.000 0.000 0.500 1
Np1 Np 0.333 0.667 0.250 1
Np2 Np 0.667 0.333 0.750 1
Cd1 Cd 0.333 0.667 0.750 1
Cd2 Cd 0.667 0.333 0.250 1
O1 O 0.040 0.371 0.135 1
O2 O 0.040 0.669 0.365 1
O3 O 0.331 0.371 0.365 1
O4 O 0.331 0.960 0.135 1
O5 O 0.371 0.040 0.635 1
O6 O 0.371 0.331 0.865 1
O7 O 0.629 0.669 0.135 1
O8 O 0.629 0.960 0.365 1
O9 O 0.669 0.040 0.865 1
O10 O 0.669 0.629 0.635 1
O11 O 0.960 0.331 0.635 1
O12 O 0.960 0.629 0.865 1
```


2.
A plane-wave DFT calculation with PBE was carried out for a geometry-optimized PmDy6Al2 structure.

Results
Total moment (Bohr magnetons per cell): 0.00
Relative energy among the computed polymorphs (meV per atom): 0
Energy of formation (meV per atom): -160

```
data_PmDy6Al2
_symmetry_space_group_name_H-M 'P 1'
_symmetry_Int_Tables_number 1
_cell_length_a 6.538
_cell_length_b 6.538
_cell_length_c 11.763
_cell_angle_alpha 107.86
_cell_angle_beta 107.86
_cell_angle_gamma 32.82
loop_
_symmetry_equiv_pos_as_xyz
'x,y,z'
loop_
_atom_site_label
_atom_site_type_symbol
_atom_site_fract_x
_atom_site_fract_y
_atom_site_fract_z
_atom_site_occupancy
Pm1 Pm 0.000 0.000 0.000 1
Dy1 Dy 0.020 0.020 0.332 1
Dy2 Dy 0.310 0.310 0.126 1
Dy3 Dy 0.311 0.311 0.414 1
Dy4 Dy 0.689 0.689 0.586 1
Dy5 Dy 0.690 0.690 0.874 1
Dy6 Dy 0.980 0.980 0.668 1
Al1 Al 0.350 0.350 0.788 1
Al2 Al 0.650 0.650 0.212 1
```


3.
A plane-wave DFT calculation with PBE was carried out for a geometry-optimized ScInSbI2 structure.

Results
Total moment (Bohr magnetons per cell): 0.46
Relative energy among the computed polymorphs (meV per atom): 0
E_form (uncorrected) (meV/atom): -384

```
data_ScInSbI2
_symmetry_space_group_name_H-M 'P 1'
_symmetry_Int_Tables_number 1
_cell_length_a 5.723
_cell_length_b 5.723
_cell_length_c 5.740
_cell_angle_alpha 90.00
_cell_angle_beta 90.00
_cell_angle_gamma 90.00
loop_
_symmetry_equiv_pos_as_xyz
'x,y,z'
loop_
_atom_site_label
_atom_site_type_symbol
_atom_site_fract_x
_atom_site_fract_y
_atom_site_fract_z
_atom_site_occupancy
Sc1 Sc 0.000 0.000 0.000 1
In1 In 0.500 0.500 0.500 1
Sb1 Sb 0.000 0.000 0.500 1
I1 I 0.000 0.500 0.000 1
I2 I 0.500 0.000 0.000 1
```


4.
A plane-wave DFT calculation with PBE was carried out for a geometry-optimized Cs3Tl3PbCl8 structure.

Results
Total moment (Bohr magnetons per cell): 0.00
E_form (uncorrected) (meV/atom): -1435

```
data_Cs3Tl3PbCl8
_symmetry_space_group_name_H-M 'P 1'
_symmetry_Int_Tables_number 1
_cell_length_a 9.674
_cell_length_b 9.674
_cell_length_c 9.674
_cell_angle_alpha 58.19
_cell_angle_beta 58.19
_cell_angle_gamma 58.19
loop_
_symmetry_equiv_pos_as_xyz
'x,y,z'
loop_
_atom_site_label
_atom_site_type_symbol
_atom_site_fract_x
_atom_site_fract_y
_atom_site_fract_z
_atom_site_occupancy
Cs1 Cs 0.000 0.500 0.500 1
Cs2 Cs 0.500 0.000 0.500 1
Cs3 Cs 0.500 0.500 0.000 1
Tl1 Tl 0.000 0.000 0.500 1
Tl2 Tl 0.000 0.500 0.000 1
Tl3 Tl 0.500 0.000 0.000 1
Pb1 Pb 0.500 0.500 0.500 1
Cl1 Cl 0.243 0.243 0.243 1
Cl2 Cl 0.272 0.717 0.717 1
Cl3 Cl 0.283 0.283 0.728 1
Cl4 Cl 0.283 0.728 0.283 1
Cl5 Cl 0.717 0.272 0.717 1
Cl6 Cl 0.717 0.717 0.272 1
Cl7 Cl 0.728 0.283 0.283 1
Cl8 Cl 0.757 0.757 0.757 1
```